Density functional theory data (PBE-GGA) for a relaxed structure of Pr2Sm5Er4.

Cell: 12.7367 12.7367 12.7367 Å, 164.09 138.03 45.16°
Element x y z (fractional)
Pr1 0.2323 0.2323 0.0000
Pr2 0.7677 0.7677 0.0000
Sm1 0.1614 0.3583 0.8031
Sm2 0.4448 0.6417 0.8031
Sm3 0.5000 0.0000 0.5000
Sm4 0.5552 0.3583 0.1969
Sm5 0.8386 0.6417 0.1969
Er1 0.0964 0.0964 0.0000
Er2 0.1856 0.5000 0.6856
Er3 0.8144 0.5000 0.3144
Er4 0.9036 0.9036 0.0000

Properties
E ... -49.475 eV/cell
Symmetry ... Immm (71)
Energy of formation ... 186 kJ/mol of formula units
Magnetic moment ... 0.0 μB/cell
ΔE to the lowest computed polymorph ... 152 meV per atom
Fermi-level density of states ... 1.425 states/eV per atom